The following is a DFT calculation (GGA-PBE) of NpAgPd14 after structural relaxation.

Results
Formation energy from the elements ... -138 meV/atom
Space group ... P4/mmm
Magnetization ... 1.5 μB/cell

Unit cell a=5.722 b=5.722 c=7.846 alpha=90.00 beta=90.00 gamma=90.00
Site moments in Bohr magnetons follow the coordinates.
Sites, in units of the cell vectors:
1 Np 0.375 0.375 0.500  2.81
2 Ag 0.875 0.875 0.500  0.00
3 Pd 0.875 0.875 0.000  -0.10
4 Pd 0.375 0.375 0.000  -0.06
5 Pd 0.875 0.375 0.500  -0.07
6 Pd 0.875 0.375 0.000  -0.14
7 Pd 0.375 0.875 0.500  -0.07
8 Pd 0.375 0.875 0.000  -0.14
9 Pd 0.623 0.127 0.248  -0.11
10 Pd 0.623 0.127 0.752  -0.11
11 Pd 0.127 0.623 0.248  -0.11
12 Pd 0.127 0.623 0.752  -0.11
13 Pd 0.623 0.623 0.248  -0.11
14 Pd 0.623 0.623 0.752  -0.11
15 Pd 0.127 0.127 0.248  -0.11
16 Pd 0.127 0.127 0.752  -0.11

The following is a DFT calculation (GGA-PBE) of Fe2HgW after structural relaxation.

Results
Formation energy from the elements ... 587 meV/atom
Space group ... I-4m2
Magnetization ... 3.2 μB/cell

Unit cell a=4.833 b=4.833 c=4.833 alpha=133.42 beta=133.42 gamma=67.99
Site moments in Bohr magnetons follow the coordinates.
Sites, in units of the cell vectors:
1 Fe 0.000 0.000 0.000  1.87
2 Fe 0.250 0.750 0.500  1.99
3 Hg 0.500 0.500 0.000  -0.04
4 W 0.750 0.250 0.500  -0.48

The following is a DFT calculation (GGA-PBE) of Tb4PdPt3 after structural relaxation.

Results
Formation energy from the elements ... -1184 meV/atom
Space group ... Pmm2
Magnetization ... 0.0 μB/cell

Unit cell a=3.758 b=4.530 c=10.580 alpha=90.00 beta=90.00 gamma=90.00
Sites, in units of the cell vectors:
1 Tb 0.500 0.500 0.365
2 Tb 0.000 0.500 0.860
3 Tb 0.000 0.000 0.137
4 Tb 0.500 0.000 0.638
5 Pd 0.500 0.500 0.087
6 Pt 0.000 0.500 0.588
7 Pt 0.000 0.000 0.410
8 Pt 0.500 0.000 0.914

The following is a DFT calculation (GGA-PBE) of Ba2LaAl after structural relaxation.

Results
Formation energy from the elements ... 106 meV/atom
Space group ... I4/mmm
Magnetization ... 0.0 μB/cell

Unit cell a=6.730 b=6.730 c=6.730 alpha=134.87 beta=134.87 gamma=65.72
Sites, in units of the cell vectors:
1 Al 0.750 0.250 0.500
2 Ba 0.000 0.000 0.000
3 Ba 0.500 0.500 0.000
4 La 0.250 0.750 0.500

The following is a DFT calculation (GGA-PBE) of Ba2SnSe3F2 after structural relaxation.

Results
Uncorrected formation energy ... -2147 meV/atom
Space group ... Pnma
Magnetization ... 0.0 μB/cell

Unit cell a=6.489 b=6.564 c=20.115 alpha=90.00 beta=90.00 gamma=90.00
Sites, in units of the cell vectors:
1 Ba 0.246 0.495 0.427
2 Ba 0.746 0.005 0.073
3 Ba 0.254 0.995 0.573
4 Ba 0.754 0.505 0.927
5 Ba 0.754 0.505 0.573
6 Ba 0.254 0.995 0.927
7 Ba 0.746 0.005 0.427
8 Ba 0.246 0.495 0.073
9 Sn 0.146 0.591 0.750
10 Sn 0.646 0.909 0.750
11 Sn 0.354 0.091 0.250
12 Sn 0.854 0.409 0.250
13 Se 0.743 0.514 0.135
14 Se 0.747 0.523 0.750
15 Se 0.753 0.023 0.250
16 Se 0.253 0.477 0.250
17 Se 0.243 0.986 0.365
18 Se 0.757 0.014 0.865
19 Se 0.257 0.486 0.635
20 Se 0.257 0.486 0.865
21 Se 0.743 0.514 0.365
22 Se 0.243 0.986 0.135
23 Se 0.247 0.977 0.750
24 Se 0.757 0.014 0.635
25 F 0.498 0.254 0.999
26 F 0.998 0.246 0.501
27 F 0.502 0.746 0.499
28 F 0.498 0.254 0.501
29 F 0.998 0.246 0.999
30 F 0.002 0.754 0.499
31 F 0.502 0.746 0.001
32 F 0.002 0.754 0.001

The following is a DFT calculation (GGA-PBE) of RbCeMgBr6 after structural relaxation.

Results
Uncorrected formation energy ... -1699 meV/atom
Space group ... P-31c
Magnetization ... 2.0 μB/cell

Unit cell a=7.351 b=7.351 c=15.192 alpha=90.00 beta=90.00 gamma=120.00
Site moments in Bohr magnetons follow the coordinates.
Sites, in units of the cell vectors:
1 Rb 0.000 0.000 0.000  0.00
2 Rb 0.000 0.000 0.500  0.00
3 Ce 0.333 0.667 0.250  0.98
4 Ce 0.667 0.333 0.750  0.98
5 Mg 0.667 0.333 0.250  0.00
6 Mg 0.333 0.667 0.750  0.00
7 Br 0.640 0.617 0.144  -0.01
8 Br 0.978 0.360 0.144  -0.01
9 Br 0.360 0.978 0.644  -0.01
10 Br 0.022 0.640 0.856  -0.01
11 Br 0.383 0.360 0.356  -0.01
12 Br 0.978 0.617 0.356  -0.01
13 Br 0.617 0.978 0.856  -0.01
14 Br 0.640 0.022 0.356  -0.01
15 Br 0.022 0.383 0.644  -0.01
16 Br 0.383 0.022 0.144  -0.01
17 Br 0.617 0.640 0.644  -0.01
18 Br 0.360 0.383 0.856  -0.01

The following is a DFT calculation (GGA-PBE) of SnIr2N2 after structural relaxation.

Results
Uncorrected formation energy ... 1200 meV/atom
Space group ... P4/mmm
Magnetization ... 1.3 μB/cell

Unit cell a=3.822 b=3.822 c=5.647 alpha=90.00 beta=90.00 gamma=90.00
Site moments in Bohr magnetons follow the coordinates.
Sites, in units of the cell vectors:
1 Ir 0.000 0.500 0.000  0.11
2 Ir 0.500 0.000 0.000  0.11
3 Sn 0.500 0.500 0.500  -0.01
4 N 0.000 0.000 0.000  0.02
5 N 0.000 0.000 0.500  0.76

The following is a DFT calculation (GGA-PBE) of Ba2LiAg3Sn4 after structural relaxation.

Results
Formation energy from the elements ... -402 meV/atom
Space group ... P-4m2
Magnetization ... 0.0 μB/cell

Unit cell a=4.845 b=4.845 c=11.668 alpha=90.00 beta=90.00 gamma=90.00
Sites, in units of the cell vectors:
1 Ba 0.500 0.000 0.257
2 Ba 0.000 0.500 0.743
3 Li 0.500 0.500 0.500
4 Ag 0.000 0.000 0.500
5 Ag 0.500 0.000 0.864
6 Ag 0.000 0.500 0.136
7 Sn 0.500 0.500 0.000
8 Sn 0.000 0.000 0.000
9 Sn 0.500 0.000 0.623
10 Sn 0.000 0.500 0.377

The following is a DFT calculation (GGA-PBE) of B2TePd2 after structural relaxation.

Results
Polymorph energy (0 for the lowest one) ... 0 meV/atom
Uncorrected formation energy ... 257 meV/atom
Space group ... I4/mmm
Magnetization ... 0.0 μB/cell

Unit cell a=4.022 b=4.022 c=5.117 alpha=66.86 beta=66.86 gamma=90.00
Sites, in units of the cell vectors:
1 B 0.400 0.400 0.200
2 B 0.600 0.600 0.800
3 Te 0.000 0.000 0.000
4 Pd 0.750 0.250 0.500
5 Pd 0.250 0.750 0.500

The following is a DFT calculation (GGA-PBE) of BaCeSbO6 after structural relaxation.

Results
Uncorrected formation energy ... -2220 meV/atom
Space group ... P-31c
Magnetization ... 2.2 μB/cell

Unit cell a=5.760 b=5.760 c=11.301 alpha=90.00 beta=90.00 gamma=120.00
Site moments in Bohr magnetons follow the coordinates.
Sites, in units of the cell vectors:
1 Ba 0.000 0.000 0.000  0.00
2 Ba 0.000 0.000 0.500  0.00
3 Ce 0.333 0.667 0.250  0.02
4 Ce 0.667 0.333 0.750  0.02
5 Sb 0.667 0.333 0.250  -0.02
6 Sb 0.333 0.667 0.750  -0.02
7 O 0.639 0.608 0.150  0.15
8 O 0.969 0.361 0.150  0.15
9 O 0.361 0.969 0.650  0.15
10 O 0.031 0.639 0.850  0.15
11 O 0.392 0.361 0.350  0.15
12 O 0.969 0.608 0.350  0.15
13 O 0.608 0.969 0.850  0.15
14 O 0.639 0.031 0.350  0.15
15 O 0.031 0.392 0.650  0.15
16 O 0.392 0.031 0.150  0.15
17 O 0.608 0.639 0.650  0.15
18 O 0.361 0.392 0.850  0.15

The following is a DFT calculation (GGA-PBE) of Ho3PuO8 after structural relaxation.

Results
Uncorrected formation energy ... -2982 meV/atom
Space group ... C222
Magnetization ... 1.0 μB/cell

Unit cell a=5.997 b=5.997 c=6.721 alpha=90.00 beta=90.00 gamma=121.05
Site moments in Bohr magnetons follow the coordinates.
Sites, in units of the cell vectors:
1 Ho 0.000 0.500 0.227  -0.01
2 Ho 0.500 0.500 0.000  -0.01
3 Ho 0.500 0.000 0.773  -0.01
4 Pu 0.500 0.500 0.500  1.36
5 O 0.689 0.311 0.500  -0.07
6 O 0.712 0.288 0.000  -0.01
7 O 0.698 0.754 0.729  -0.05
8 O 0.754 0.698 0.271  -0.05
9 O 0.246 0.302 0.271  -0.05
10 O 0.302 0.246 0.729  -0.05
11 O 0.288 0.712 0.000  -0.01
12 O 0.311 0.689 0.500  -0.07

The following is a DFT calculation (GGA-PBE) of VCdTe2 after structural relaxation.

Results
Uncorrected formation energy ... 449 meV/atom
Space group ... R-3m
Magnetization ... 3.4 μB/cell

Unit cell a=12.502 b=12.502 c=12.502 alpha=14.79 beta=14.79 gamma=14.79
Site moments in Bohr magnetons follow the coordinates.
Sites, in units of the cell vectors:
1 Cd 0.500 0.500 0.500  -0.01
2 Te 0.927 0.927 0.927  0.00
3 Te 0.073 0.073 0.073  0.00
4 V 0.000 0.000 0.000  2.67

The following is a DFT calculation (GGA-PBE) of BaCoOs2 after structural relaxation.

Results
Polymorph energy (0 for the lowest one) ... 1458 meV/atom
Formation energy from the elements ... 1769 meV/atom
Space group ... Fm-3m
Magnetization ... 0.0 μB/cell

Unit cell a=4.647 b=4.647 c=4.647 alpha=60.00 beta=60.00 gamma=60.00
Sites, in units of the cell vectors:
1 Co 0.000 0.000 0.000
2 Os 0.250 0.250 0.250
3 Os 0.750 0.750 0.750
4 Ba 0.500 0.500 0.500

The following is a DFT calculation (GGA-PBE) of Sr2Ge3PdPt12 after structural relaxation.

Results
Formation energy from the elements ... -125 meV/atom
Space group ... R-3m
Magnetization ... 0.0 μB/cell

Unit cell a=7.886 b=7.886 c=7.886 alpha=64.21 beta=64.21 gamma=64.21
Sites, in units of the cell vectors:
1 Sr 0.609 0.609 0.609
2 Sr 0.391 0.391 0.391
3 Ge 0.500 0.000 0.000
4 Ge 0.000 0.500 0.000
5 Ge 0.000 0.000 0.500
6 Pd 0.000 0.000 0.000
7 Pt 0.357 0.357 0.910
8 Pt 0.868 0.868 0.377
9 Pt 0.377 0.868 0.868
10 Pt 0.910 0.357 0.357
11 Pt 0.868 0.377 0.868
12 Pt 0.357 0.910 0.357
13 Pt 0.643 0.643 0.090
14 Pt 0.132 0.132 0.623
15 Pt 0.623 0.132 0.132
16 Pt 0.090 0.643 0.643
17 Pt 0.132 0.623 0.132
18 Pt 0.643 0.090 0.643

The following is a DFT calculation (GGA-PBE) of GeTe4Pb2 after structural relaxation.

Results
Polymorph energy (0 for the lowest one) ... 0 meV/atom
Uncorrected formation energy ... -103 meV/atom
Space group ... I-42m
Magnetization ... 0.0 μB/cell

Unit cell a=7.516 b=7.516 c=7.768 alpha=118.93 beta=118.93 gamma=90.00
Sites, in units of the cell vectors:
1 Ge 0.500 0.500 0.000
2 Te 0.822 0.375 0.197
3 Te 0.375 0.822 0.197
4 Te 0.625 0.625 0.803
5 Te 0.178 0.178 0.803
6 Pb 0.750 0.250 0.500
7 Pb 0.250 0.750 0.500

The following is a DFT calculation (GGA-PBE) of NaSmAsO4 after structural relaxation.

Results
Uncorrected formation energy ... -1946 meV/atom
Space group ... Imma
Magnetization ... 0.0 μB/cell

Unit cell a=6.456 b=6.547 c=6.547 alpha=63.75 beta=60.46 gamma=60.46
Sites, in units of the cell vectors:
1 Na 0.500 0.000 0.500
2 Na 0.000 0.000 0.500
3 Sm 0.000 0.000 0.000
4 Sm 0.000 0.500 0.500
5 As 0.625 0.625 0.125
6 As 0.375 0.375 0.875
7 O 0.740 0.724 0.797
8 O 0.260 0.703 0.776
9 O 0.740 0.297 0.224
10 O 0.260 0.276 0.203
11 O 0.253 0.743 0.243
12 O 0.760 0.743 0.243
13 O 0.240 0.257 0.757
14 O 0.747 0.257 0.757

The following is a DFT calculation (GGA-PBE) of Cu3OsCl after structural relaxation.

Results
Polymorph energy (0 for the lowest one) ... 0 meV/atom
Uncorrected formation energy ... 1340 meV/atom
Space group ... Pm-3m
Magnetization ... 1.6 μB/cell

Unit cell a=4.724 b=4.724 c=4.724 alpha=90.00 beta=90.00 gamma=90.00
Site moments in Bohr magnetons follow the coordinates.
Sites, in units of the cell vectors:
1 Os 0.000 0.000 0.000  1.13
2 Cu 0.000 0.500 0.000  0.13
3 Cu 0.000 0.000 0.500  0.30
4 Cu 0.500 0.000 0.000  0.04
5 Cl 0.500 0.500 0.500  0.01

The following is a DFT calculation (GGA-PBE) of Ce2TiTl3S6 after structural relaxation.

Results
Uncorrected formation energy ... -1231 meV/atom
Space group ... C2/m
Magnetization ... 3.0 μB/cell

Unit cell a=6.881 b=6.881 c=7.887 alpha=98.39 beta=98.39 gamma=119.88
Site moments in Bohr magnetons follow the coordinates.
Sites, in units of the cell vectors:
1 Ce 0.334 0.666 0.000  0.84
2 Ce 0.666 0.334 0.000  0.84
3 Ti 0.000 0.000 0.000  0.96
4 Tl 0.170 0.830 0.500  0.01
5 Tl 0.830 0.170 0.500  0.01
6 Tl 0.500 0.500 0.500  0.01
7 S 0.935 0.629 0.807  -0.03
8 S 0.760 0.760 0.201  -0.02
9 S 0.065 0.371 0.193  -0.03
10 S 0.629 0.935 0.807  -0.03
11 S 0.240 0.240 0.799  -0.02
12 S 0.371 0.065 0.193  -0.03

The following is a DFT calculation (GGA-PBE) of LiPm2Pd4 after structural relaxation.

Results
Polymorph energy (0 for the lowest one) ... 33 meV/atom
Formation energy from the elements ... -498 meV/atom
Space group ... I4/mmm
Magnetization ... 0.0 μB/cell

Unit cell a=4.355 b=4.355 c=8.097 alpha=105.60 beta=105.60 gamma=90.00
Sites, in units of the cell vectors:
1 Li 0.000 0.000 0.000
2 Pm 0.652 0.652 0.303
3 Pm 0.348 0.348 0.697
4 Pd 0.846 0.846 0.693
5 Pd 0.154 0.154 0.307
6 Pd 0.000 0.500 0.000
7 Pd 0.500 0.000 0.000

The following is a DFT calculation (GGA-PBE) of Os7Pt6 after structural relaxation.

Results
Formation energy from the elements ... 482 meV/atom
Space group ... R-3m
Magnetization ... 0.0 μB/cell

Unit cell a=9.386 b=9.386 c=9.386 alpha=32.14 beta=32.14 gamma=32.14
Sites, in units of the cell vectors:
1 Os 0.918 0.412 0.412
2 Os 0.412 0.412 0.918
3 Os 0.412 0.918 0.412
4 Os 0.082 0.588 0.588
5 Os 0.588 0.082 0.588
6 Os 0.588 0.588 0.082
7 Os 0.500 0.500 0.500
8 Pt 0.943 0.943 0.943
9 Pt 0.057 0.057 0.057
10 Pt 0.839 0.839 0.839
11 Pt 0.161 0.161 0.161
12 Pt 0.663 0.663 0.663
13 Pt 0.337 0.337 0.337

The following is a DFT calculation (GGA-PBE) of Ac2NpCdO6 after structural relaxation.

Results
Uncorrected formation energy ... -2763 meV/atom
Space group ... P2_1/c
Magnetization ... 6.0 μB/cell

Unit cell a=6.032 b=6.259 c=8.736 alpha=90.00 beta=89.21 gamma=90.00
Site moments in Bohr magnetons follow the coordinates.
Sites, in units of the cell vectors:
1 Ac 0.017 0.945 0.253  0.01
2 Ac 0.517 0.555 0.753  0.01
3 Ac 0.983 0.055 0.747  0.01
4 Ac 0.483 0.445 0.247  0.01
5 Np 0.500 0.000 0.500  3.05
6 Np 0.000 0.500 0.000  3.05
7 Cd 0.500 0.000 0.000  0.01
8 Cd 0.000 0.500 0.500  0.01
9 O 0.295 0.689 0.059  -0.03
10 O 0.795 0.811 0.559  -0.03
11 O 0.705 0.311 0.941  -0.03
12 O 0.205 0.189 0.441  -0.03
13 O 0.310 0.709 0.429  -0.03
14 O 0.810 0.791 0.929  -0.03
15 O 0.690 0.291 0.571  -0.03
16 O 0.190 0.209 0.071  -0.03
17 O 0.876 0.557 0.241  -0.03
18 O 0.376 0.943 0.741  -0.03
19 O 0.124 0.443 0.759  -0.03
20 O 0.624 0.057 0.259  -0.03